VASP calculation (PBE-GGA) on a relaxed structure of TmPa2.

Summary:
- relative energy among the computed polymorphs (eV/f.u.) = 0.02
- space group = I4/mmm (139)
- formation enthalpy at 0 K (eV/atom) = 0.238
- Fermi-level density of states (states/eV/f.u.) = 6.646

a = 3.5948 Å, b = 3.5948 Å, c = 6.6661 Å
α = 105.64°, β = 105.64°, γ = 90.00°
With the nearest neighbours (Å) after each atom.
Fractional positions:
Pa  0.6853  0.6853  0.3706  4 Pa 3.00
Pa  0.3147  0.3147  0.6294  4 Pa 3.00
Tm  0.0000  0.0000  0.0000  8 Pa 3.42, 4 Tm 3.59